Compound: Nb4NiGeN2
Source: the Open Quantum Materials Database
Functional: PBE
Structure: optimized geometry

Cell lengths 3.2011, 3.2011, 12.5300 Å; angles 90.00, 90.00, 120.00 degrees
Space group P-6m2 (No. 187)
Unique sites:
1 Nb 0.0000 0.0000 0.1525 (multiplicity 2)
2 Nb 0.6667 0.3333 0.3391 (multiplicity 2)
3 Ni 0.6667 0.3333 0.0000 (multiplicity 1)
4 Ge 0.0000 0.0000 0.5000 (multiplicity 1)
5 N 0.3333 0.6667 0.2442 (multiplicity 2)

Results
Crystal system   hexagonal
Final energy   -8.95 eV per atom